Version A
5
Lattice="5.6684 0.0000 0.0000 0.0000 5.6684 0.0000 0.0000 0.0000 5.6684" Properties=species:S:1:pos:R:3 comment="SrPm3Ir (PBE, optimized geometry)" sg=Pm-3m magmom_total_mub_per_atom=0.00 pbc="T T T"
Sr 0.0000 0.0000 0.0000
Pm 0.0000 2.8342 2.8342
Pm 2.8342 0.0000 2.8342
Pm 2.8342 2.8342 0.0000
Ir 2.8342 2.8342 2.8342

Version B
10
Lattice="4.1452 0.0000 0.0000 0.0000 9.2127 0.0000 0.0000 0.0000 9.4830" Properties=species:S:1:pos:R:3 comment="SrPm3Ir (PBE, optimized geometry)" sg=Pmmn magmom_total_mub_per_atom=0.00 pbc="T T T"
Sr 1.0363 2.3032 0.3774
Sr 3.1089 6.9095 9.1056
Pm 1.0363 5.1891 6.1286
Pm 1.0363 6.9095 2.9624
Pm 1.0363 8.6300 6.1286
Pm 3.1089 0.5827 3.3544
Pm 3.1089 2.3032 6.5206
Pm 3.1089 4.0236 3.3544
Ir 1.0363 2.3032 4.5884
Ir 3.1089 6.9095 4.8946

Stability summary: most stable version A, least stable version B.